LaVS2 | PBE | optimized geometry

Lattice parameters (Å, degrees): 4.3118 4.3118 22.8210 90.00 90.00 120.00
With the nearest neighbours (Å) after each atom.
Space group R-3m (No. 166, hexagonal axes)
One atom of each set of equivalent atoms:
La: 0.0000 0.0000 0.0000 (multiplicity 3)  6 S 2.88
V: 0.0000 0.0000 0.5000 (multiplicity 3)  2 S 2.35
S: 0.0000 0.0000 0.3969 (multiplicity 6)  1 V 2.35

Properties
V: 30.619 A^3/atom
uncorrected formation energy: -3.694 eV/f.u.

***

LaVS2 | PBE | optimized geometry

Lattice parameters (Å, degrees): 5.7790 5.7790 12.2780 90.00 90.00 90.00
With the nearest neighbours (Å) after each atom.
Space group I-42d (No. 122)
One atom of each set of equivalent atoms:
La: 0.0000 0.0000 0.0000 (multiplicity 4)  4 S 2.80
V: 0.0000 0.0000 0.5000 (multiplicity 4)  4 S 2.35
S: 0.1810 0.2500 0.6250 (multiplicity 8)  2 V 2.35

Properties
V: 25.628 A^3/atom
uncorrected formation energy: -4.340 eV/f.u.